No. 1
{
  "formula": "Nd4BSb2",
  "functional": "PBE-GGA",
  "state": "relaxed",
  "sg": "I4/mmm",
  "rho_g_cm3": 6.56,
  "formation_energy_uncorrected_ev_per_atom": -0.645,
  "final_energy_ev_per_cell": -38.51,
  "magmom_total_mub_per_atom": 0.000,
  "vol_a3_per_cell": 210.3,
  "lattice": [[-2.529, 2.529, 8.221], [2.529, -2.529, 8.221], [2.529, 2.529, -8.221]],
  "species": ["Nd", "Nd", "Nd", "Nd", "B", "Sb", "Sb"],
  "fractional_positions": [[0.000, 0.500, 0.500], [0.165, 0.165, 0.000], [0.500, 0.000, 0.500], [0.835, 0.835, 0.000], [0.000, 0.000, 0.000], [0.362, 0.362, 0.000], [0.638, 0.638, 0.000]]
}

---

No. 2
{
  "formula": "NdScB",
  "functional": "PBE-GGA",
  "state": "relaxed",
  "sg": "P2_1/m",
  "rho_g_cm3": 5.62,
  "final_energy_ev_per_cell": -106.74,
  "magmom_total_mub_per_atom": 0.000,
  "vol_a3_per_cell": 354.5,
  "lattice": [[7.348, 0.000, 0.000], [0.000, 4.260, 0.000], [-0.299, 0.000, 11.325]],
  "species": ["Nd", "Nd", "Nd", "Nd", "Nd", "Nd", "Sc", "Sc", "Sc", "Sc", "Sc", "Sc", "B", "B", "B", "B", "B", "B"],
  "fractional_positions": [[0.008, 0.250, 0.217], [0.398, 0.250, 0.418], [0.477, 0.250, 0.112], [0.523, 0.750, 0.888], [0.602, 0.750, 0.582], [0.992, 0.750, 0.783], [0.069, 0.750, 0.420], [0.148, 0.750, 0.046], [0.316, 0.250, 0.723], [0.684, 0.750, 0.277], [0.852, 0.250, 0.954], [0.931, 0.250, 0.580], [0.194, 0.250, 0.934], [0.225, 0.750, 0.610], [0.316, 0.750, 0.259], [0.684, 0.250, 0.741], [0.775, 0.250, 0.390], [0.806, 0.750, 0.066]]
}

---

No. 3
{
  "formula": "NdScB12",
  "functional": "PBE-GGA",
  "state": "relaxed",
  "sg": "P4/mmm",
  "rho_g_cm3": 3.83,
  "final_energy_ev_per_cell": -95.99,
  "magmom_total_mub_per_atom": 0.000,
  "vol_a3_per_cell": 138.4,
  "lattice": [[4.107, 0.000, 0.000], [0.000, 4.107, 0.000], [0.000, 0.000, 8.205]],
  "species": ["Nd", "Sc", "B", "B", "B", "B", "B", "B", "B", "B", "B", "B", "B", "B"],
  "fractional_positions": [[0.000, 0.000, 0.000], [0.000, 0.000, 0.500], [0.199, 0.500, 0.253], [0.199, 0.500, 0.747], [0.500, 0.199, 0.253], [0.500, 0.199, 0.747], [0.500, 0.500, 0.101], [0.500, 0.500, 0.402], [0.500, 0.500, 0.598], [0.500, 0.500, 0.899], [0.500, 0.801, 0.253], [0.500, 0.801, 0.747], [0.801, 0.500, 0.253], [0.801, 0.500, 0.747]]
}

---

No. 4
{
  "formula": "NdBSe",
  "functional": "PBE-GGA",
  "state": "relaxed",
  "sg": "C2/m",
  "rho_g_cm3": 6.28,
  "formation_energy_uncorrected_ev_per_atom": -0.543,
  "final_energy_ev_per_cell": -33.12,
  "magmom_total_mub_per_atom": 0.000,
  "vol_a3_per_cell": 123.8,
  "lattice": [[5.131, -1.907, 0.000], [5.131, 1.907, 0.000], [-0.275, 0.000, 6.324]],
  "species": ["Nd", "Nd", "B", "B", "Se", "Se"],
  "fractional_positions": [[0.146, 0.146, 0.307], [0.854, 0.854, 0.693], [0.430, 0.430, 0.438], [0.570, 0.570, 0.562], [0.134, 0.134, 0.803], [0.866, 0.866, 0.197]]
}

---

No. 5
{
  "formula": "NdBSe3",
  "functional": "PBE-GGA",
  "state": "relaxed",
  "sg": "P-1",
  "rho_g_cm3": 5.28,
  "formation_energy_uncorrected_ev_per_atom": -0.891,
  "final_energy_ev_per_cell": -52.71,
  "magmom_total_mub_per_atom": 0.000,
  "vol_a3_per_cell": 246.5,
  "lattice": [[4.159, 0.000, 0.000], [1.413, 7.753, 0.000], [2.031, -0.238, 7.644]],
  "species": ["Nd", "Nd", "B", "B", "Se", "Se", "Se", "Se", "Se", "Se"],
  "fractional_positions": [[0.160, 0.388, 0.264], [0.840, 0.612, 0.736], [0.097, 0.936, 0.065], [0.903, 0.064, 0.935], [0.176, 0.682, 0.007], [0.256, 0.001, 0.260], [0.458, 0.650, 0.432], [0.542, 0.350, 0.568], [0.744, 0.999, 0.740], [0.824, 0.318, 0.993]]
}

---

No. 6
{
  "formula": "NdBSe4",
  "functional": "PBE-GGA",
  "state": "relaxed",
  "sg": "I4_1/amd",
  "rho_g_cm3": 4.93,
  "formation_energy_uncorrected_ev_per_atom": -0.533,
  "final_energy_ev_per_cell": -57.17,
  "magmom_total_mub_per_atom": 0.124,
  "vol_a3_per_cell": 317.1,
  "lattice": [[-4.658, 4.658, 3.654], [4.658, -4.658, 3.654], [4.658, 4.658, -3.654]],
  "species": ["Nd", "Nd", "B", "B", "Se", "Se", "Se", "Se", "Se", "Se", "Se", "Se"],
  "fractional_positions": [[0.375, 0.625, 0.750], [0.625, 0.375, 0.250], [0.125, 0.875, 0.250], [0.875, 0.125, 0.750], [0.142, 0.712, 0.429], [0.217, 0.288, 0.929], [0.288, 0.217, 0.429], [0.288, 0.858, 0.071], [0.712, 0.142, 0.929], [0.712, 0.783, 0.571], [0.783, 0.712, 0.071], [0.858, 0.288, 0.571]]
}

---

No. 7
{
  "formula": "Nd2Si3B",
  "functional": "PBE-GGA",
  "state": "relaxed",
  "sg": "Fmmm",
  "rho_g_cm3": 5.73,
  "formation_energy_uncorrected_ev_per_atom": -0.546,
  "final_energy_ev_per_cell": -71.51,
  "magmom_total_mub_per_atom": 0.000,
  "vol_a3_per_cell": 222.5,
  "lattice": [[0.000, 4.366, 6.589], [3.867, 0.000, 6.589], [3.867, 4.366, 0.000]],
  "species": ["Nd", "Nd", "Nd", "Nd", "Si", "Si", "Si", "Si", "Si", "Si", "B", "B"],
  "fractional_positions": [[0.245, 0.755, 0.245], [0.250, 0.250, 0.250], [0.750, 0.750, 0.750], [0.755, 0.245, 0.755], [0.177, 0.177, 0.823], [0.180, 0.640, 0.820], [0.360, 0.820, 0.640], [0.640, 0.180, 0.360], [0.820, 0.360, 0.180], [0.823, 0.823, 0.177], [0.333, 0.333, 0.667], [0.667, 0.667, 0.333]]
}

---

No. 8
{
  "formula": "NdSi2Tc2B",
  "functional": "PBE-GGA",
  "state": "relaxed",
  "sg": "P4/mmm",
  "rho_g_cm3": 7.09,
  "formation_energy_uncorrected_ev_per_atom": -0.623,
  "final_energy_ev_per_cell": -46.76,
  "magmom_total_mub_per_atom": 0.000,
  "vol_a3_per_cell": 95.4,
  "lattice": [[4.227, 0.000, 0.000], [0.000, 4.227, 0.000], [0.000, 0.000, 5.339]],
  "species": ["Nd", "Si", "Si", "Tc", "Tc", "B"],
  "fractional_positions": [[0.000, 0.000, 0.000], [0.500, 0.500, 0.234], [0.500, 0.500, 0.766], [0.000, 0.500, 0.500], [0.500, 0.000, 0.500], [0.000, 0.000, 0.500]]
}

---

No. 9
{
  "formula": "NdSmB12",
  "functional": "PBE-GGA",
  "state": "relaxed",
  "sg": "P4/mmm",
  "rho_g_cm3": 5.01,
  "final_energy_ev_per_cell": -96.13,
  "magmom_total_mub_per_atom": 0.000,
  "vol_a3_per_cell": 140.6,
  "lattice": [[4.127, 0.000, 0.000], [0.000, 4.127, 0.000], [0.000, 0.000, 8.255]],
  "species": ["Nd", "Sm", "B", "B", "B", "B", "B", "B", "B", "B", "B", "B", "B", "B"],
  "fractional_positions": [[0.000, 0.000, 0.000], [0.000, 0.000, 0.500], [0.200, 0.500, 0.251], [0.200, 0.500, 0.749], [0.500, 0.200, 0.251], [0.500, 0.200, 0.749], [0.500, 0.500, 0.100], [0.500, 0.500, 0.401], [0.500, 0.500, 0.599], [0.500, 0.500, 0.900], [0.500, 0.800, 0.251], [0.500, 0.800, 0.749], [0.800, 0.500, 0.251], [0.800, 0.500, 0.749]]
}

---

No. 10
{
  "formula": "NdSm2B9",
  "functional": "PBE-GGA",
  "state": "relaxed",
  "sg": "R-3m",
  "rho_g_cm3": 5.38,
  "final_energy_ev_per_cell": -75.77,
  "magmom_total_mub_per_atom": 0.000,
  "vol_a3_per_cell": 167.5,
  "lattice": [[2.238, 1.292, 9.654], [-2.238, 1.292, 9.654], [0.000, -2.584, 9.654]],
  "species": ["Nd", "Sm", "Sm", "B", "B", "B", "B", "B", "B", "B", "B", "B"],
  "fractional_positions": [[0.000, 0.000, 0.000], [0.118, 0.118, 0.118], [0.882, 0.882, 0.882], [0.028, 0.391, 0.391], [0.391, 0.028, 0.391], [0.391, 0.391, 0.028], [0.401, 0.401, 0.401], [0.500, 0.500, 0.500], [0.599, 0.599, 0.599], [0.609, 0.609, 0.972], [0.609, 0.972, 0.609], [0.972, 0.609, 0.609]]
}

---

No. 11
{
  "formula": "NdSmB",
  "functional": "PBE-GGA",
  "state": "relaxed",
  "sg": "Pnma",
  "rho_g_cm3": 6.65,
  "final_energy_ev_per_cell": -65.65,
  "magmom_total_mub_per_atom": 0.000,
  "vol_a3_per_cell": 304.9,
  "lattice": [[11.434, 0.000, 0.000], [0.000, 3.256, 0.000], [0.000, 0.000, 8.191]],
  "species": ["Nd", "Nd", "Nd", "Nd", "Sm", "Sm", "Sm", "Sm", "B", "B", "B", "B"],
  "fractional_positions": [[0.218, 0.250, 0.006], [0.282, 0.750, 0.506], [0.718, 0.250, 0.494], [0.782, 0.750, 0.994], [0.013, 0.250, 0.298], [0.487, 0.750, 0.798], [0.513, 0.250, 0.202], [0.987, 0.750, 0.702], [0.018, 0.750, 0.024], [0.482, 0.250, 0.524], [0.518, 0.750, 0.476], [0.982, 0.250, 0.976]]
}

---

No. 12
{
  "formula": "Nd2SnB",
  "functional": "PBE-GGA",
  "state": "relaxed",
  "sg": "R-3m",
  "rho_g_cm3": 5.78,
  "final_energy_ev_per_cell": -19.59,
  "magmom_total_mub_per_atom": 0.004,
  "vol_a3_per_cell": 120.0,
  "lattice": [[1.908, 1.101, 9.519], [-1.908, 1.101, 9.519], [0.000, -2.203, 9.519]],
  "species": ["Nd", "Nd", "Sn", "B"],
  "fractional_positions": [[0.115, 0.115, 0.115], [0.885, 0.885, 0.885], [0.000, 0.000, 0.000], [0.500, 0.500, 0.500]]
}

---

No. 13
{
  "formula": "NdSnB",
  "functional": "PBE-GGA",
  "state": "relaxed",
  "sg": "C2/m",
  "rho_g_cm3": 6.93,
  "final_energy_ev_per_cell": -32.71,
  "magmom_total_mub_per_atom": 0.000,
  "vol_a3_per_cell": 131.2,
  "lattice": [[5.661, -1.849, 0.000], [5.661, 1.849, 0.000], [-0.940, 0.000, 6.267]],
  "species": ["Nd", "Nd", "Sn", "Sn", "B", "B"],
  "fractional_positions": [[0.162, 0.162, 0.195], [0.838, 0.838, 0.805], [0.099, 0.099, 0.687], [0.901, 0.901, 0.313], [0.458, 0.458, 0.097], [0.542, 0.542, 0.903]]
}

---

No. 14
{
  "formula": "NdTa2B6",
  "functional": "PBE-GGA",
  "state": "relaxed",
  "sg": "P6/mmm",
  "rho_g_cm3": 10.06,
  "final_energy_ev_per_cell": -72.92,
  "magmom_total_mub_per_atom": 0.000,
  "vol_a3_per_cell": 94.3,
  "lattice": [[5.524, 0.000, 0.000], [-2.762, 4.784, 0.000], [0.000, 0.000, 3.566]],
  "species": ["Nd", "Ta", "Ta", "B", "B", "B", "B", "B", "B"],
  "fractional_positions": [[0.000, 0.000, 0.000], [0.333, 0.667, 0.000], [0.667, 0.333, 0.000], [0.000, 0.343, 0.500], [0.000, 0.657, 0.500], [0.343, 0.000, 0.500], [0.343, 0.343, 0.500], [0.657, 0.000, 0.500], [0.657, 0.657, 0.500]]
}

---

No. 15
{
  "formula": "TbNdB",
  "functional": "PBE-GGA",
  "state": "relaxed",
  "sg": "Pnma",
  "rho_g_cm3": 7.01,
  "final_energy_ev_per_cell": -65.40,
  "magmom_total_mub_per_atom": 0.000,
  "vol_a3_per_cell": 297.4,
  "lattice": [[11.071, 0.000, 0.000], [0.000, 3.246, 0.000], [0.000, 0.000, 8.278]],
  "species": ["Tb", "Tb", "Tb", "Tb", "Nd", "Nd", "Nd", "Nd", "B", "B", "B", "B"],
  "fractional_positions": [[0.215, 0.250, 0.000], [0.285, 0.750, 0.500], [0.715, 0.250, 0.500], [0.785, 0.750, 0.000], [0.011, 0.250, 0.300], [0.489, 0.750, 0.800], [0.511, 0.250, 0.200], [0.989, 0.750, 0.700], [0.022, 0.750, 0.021], [0.478, 0.250, 0.521], [0.522, 0.750, 0.479], [0.978, 0.250, 0.979]]
}

---

No. 16
{
  "formula": "TbNdB12",
  "functional": "PBE-GGA",
  "state": "relaxed",
  "sg": "P4/mmm",
  "rho_g_cm3": 5.15,
  "final_energy_ev_per_cell": -95.76,
  "magmom_total_mub_per_atom": 0.000,
  "vol_a3_per_cell": 139.6,
  "lattice": [[4.117, 0.000, 0.000], [0.000, 4.117, 0.000], [0.000, 0.000, 8.236]],
  "species": ["Tb", "Nd", "B", "B", "B", "B", "B", "B", "B", "B", "B", "B", "B", "B"],
  "fractional_positions": [[0.000, 0.000, 0.000], [0.000, 0.000, 0.500], [0.199, 0.500, 0.248], [0.199, 0.500, 0.752], [0.500, 0.199, 0.248], [0.500, 0.199, 0.752], [0.500, 0.500, 0.099], [0.500, 0.500, 0.400], [0.500, 0.500, 0.600], [0.500, 0.500, 0.901], [0.500, 0.801, 0.248], [0.500, 0.801, 0.752], [0.801, 0.500, 0.248], [0.801, 0.500, 0.752]]
}

---

No. 17
{
  "formula": "Tb3NdB",
  "functional": "PBE-GGA",
  "state": "relaxed",
  "sg": "Pm-3m",
  "rho_g_cm3": 7.43,
  "final_energy_ev_per_cell": -25.01,
  "magmom_total_mub_per_atom": 0.000,
  "vol_a3_per_cell": 141.2,
  "lattice": [[5.207, 0.000, 0.000], [0.000, 5.207, 0.000], [0.000, 0.000, 5.207]],
  "species": ["Tb", "Tb", "Tb", "Nd", "B"],
  "fractional_positions": [[0.000, 0.000, 0.500], [0.000, 0.500, 0.000], [0.500, 0.000, 0.000], [0.500, 0.500, 0.500], [0.000, 0.000, 0.000]]
}

---

No. 18
{
  "formula": "NdTc2B4",
  "functional": "PBE-GGA",
  "state": "relaxed",
  "sg": "C2/c",
  "rho_g_cm3": 7.12,
  "final_energy_ev_per_cell": -105.85,
  "magmom_total_mub_per_atom": 0.000,
  "vol_a3_per_cell": 178.9,
  "lattice": [[5.840, -2.812, 0.000], [5.840, 2.812, 0.000], [-2.143, 0.000, 5.446]],
  "species": ["Nd", "Nd", "Tc", "Tc", "Tc", "Tc", "B", "B", "B", "B", "B", "B", "B", "B"],
  "fractional_positions": [[0.240, 0.760, 0.750], [0.760, 0.240, 0.250], [0.191, 0.326, 0.836], [0.326, 0.191, 0.336], [0.674, 0.809, 0.664], [0.809, 0.674, 0.164], [0.039, 0.247, 0.026], [0.219, 0.618, 0.199], [0.247, 0.039, 0.526], [0.382, 0.781, 0.301], [0.618, 0.219, 0.699], [0.753, 0.961, 0.474], [0.781, 0.382, 0.801], [0.961, 0.753, 0.974]]
}

---

No. 19
{
  "formula": "NdTcB2",
  "functional": "PBE-GGA",
  "state": "relaxed",
  "sg": "R-3m",
  "rho_g_cm3": 7.50,
  "final_energy_ev_per_cell": -28.34,
  "magmom_total_mub_per_atom": 0.000,
  "vol_a3_per_cell": 58.4,
  "lattice": [[1.711, 0.988, 5.758], [-1.711, 0.988, 5.758], [0.000, -1.976, 5.758]],
  "species": ["Nd", "Tc", "B", "B"],
  "fractional_positions": [[0.000, 0.000, 0.000], [0.500, 0.500, 0.500], [0.225, 0.225, 0.225], [0.775, 0.775, 0.775]]
}

---

No. 20
{
  "formula": "NdTcB4",
  "functional": "PBE-GGA",
  "state": "relaxed",
  "sg": "Immm",
  "rho_g_cm3": 7.29,
  "final_energy_ev_per_cell": -42.49,
  "magmom_total_mub_per_atom": 0.000,
  "e_above_lowest_polymorph_ev_per_atom": 0.418,
  "vol_a3_per_cell": 65.0,
  "lattice": [[-1.590, 2.730, 3.744], [1.590, -2.730, 3.744], [1.590, 2.730, -3.744]],
  "species": ["Nd", "Tc", "B", "B", "B", "B"],
  "fractional_positions": [[0.000, 0.000, 0.000], [0.500, 0.500, 0.000], [0.093, 0.755, 0.338], [0.417, 0.755, 0.662], [0.583, 0.245, 0.338], [0.907, 0.245, 0.662]]
}

---

No. 21
{
  "formula": "NdTcB4",
  "functional": "PBE-GGA",
  "state": "relaxed",
  "sg": "Pbam",
  "rho_g_cm3": 7.22,
  "final_energy_ev_per_cell": -179.99,
  "magmom_total_mub_per_atom": 0.000,
  "e_above_lowest_polymorph_ev_per_atom": 0.000,
  "vol_a3_per_cell": 262.6,
  "lattice": [[6.068, 0.000, 0.000], [0.000, 11.753, 0.000], [0.000, 0.000, 3.682]],
  "species": ["Nd", "Nd", "Nd", "Nd", "Tc", "Tc", "Tc", "Tc", "B", "B", "B", "B", "B", "B", "B", "B", "B", "B", "B", "B", "B", "B", "B", "B"],
  "fractional_positions": [[0.125, 0.151, 0.000], [0.375, 0.651, 0.000], [0.625, 0.349, 0.000], [0.875, 0.849, 0.000], [0.129, 0.414, 0.000], [0.371, 0.914, 0.000], [0.629, 0.086, 0.000], [0.871, 0.586, 0.000], [0.023, 0.690, 0.500], [0.112, 0.546, 0.500], [0.140, 0.968, 0.500], [0.218, 0.817, 0.500], [0.282, 0.317, 0.500], [0.360, 0.468, 0.500], [0.388, 0.046, 0.500], [0.477, 0.190, 0.500], [0.523, 0.810, 0.500], [0.612, 0.954, 0.500], [0.640, 0.532, 0.500], [0.718, 0.683, 0.500], [0.782, 0.183, 0.500], [0.860, 0.032, 0.500], [0.888, 0.454, 0.500], [0.977, 0.310, 0.500]]
}

---

No. 22
{
  "formula": "NdTcB",
  "functional": "PBE-GGA",
  "state": "relaxed",
  "sg": "P-6m2",
  "rho_g_cm3": 7.88,
  "final_energy_ev_per_cell": -22.04,
  "magmom_total_mub_per_atom": 0.000,
  "e_above_lowest_polymorph_ev_per_atom": 0.005,
  "vol_a3_per_cell": 53.3,
  "lattice": [[3.778, 0.000, 0.000], [-1.889, 3.272, 0.000], [0.000, 0.000, 4.315]],
  "species": ["Nd", "Tc", "B"],
  "fractional_positions": [[0.000, 0.000, 0.000], [0.667, 0.333, 0.500], [0.333, 0.667, 0.500]]
}